{"formula": "Re3B2", "functional": "PBE", "state": "optimized geometry", "lattice_angstrom": [[6.179, 0.000, 0.000], [0.000, 6.179, 0.000], [0.000, 0.000, 2.915]], "species": ["B", "B", "B", "B", "Re", "Re", "Re", "Re", "Re", "Re"], "fractional_positions": [[0.643, 0.143, 0.000], [0.143, 0.357, 0.000], [0.857, 0.643, 0.000], [0.357, 0.857, 0.000], [0.000, 0.000, 0.000], [0.500, 0.500, 0.000], [0.349, 0.151, 0.500], [0.849, 0.349, 0.500], [0.151, 0.651, 0.500], [0.651, 0.849, 0.500]], "sg": "P4/mbm, No. 127", "dft_energy_ev_per_cell": -101.7}

***

{"formula": "InFeB", "functional": "PBE", "state": "optimized geometry", "lattice_angstrom": [[0.000, 2.692, 2.692], [2.692, 0.000, 2.692], [2.692, 2.692, 0.000]], "species": ["B", "Fe", "In"], "fractional_positions": [[0.000, 0.000, 0.000], [0.250, 0.250, 0.250], [0.750, 0.750, 0.750]], "sg": "F-43m, No. 216", "e_above_lowest_polymorph_ev_per_atom": 0.0000}

***

{"formula": "Y2HgOs", "functional": "PBE", "state": "optimized geometry", "lattice_angstrom": [[4.695, -1.358, 0.655], [1.042, -4.293, 2.192], [1.882, -3.720, -2.634]], "species": ["Hg", "Os", "Y", "Y"], "fractional_positions": [[0.750, 0.750, 0.750], [0.500, 0.500, 0.500], [0.000, 0.000, 0.000], [0.250, 0.250, 0.250]], "sg": "F-43m, No. 216", "formation_enthalpy_0k_ev_per_atom": 0.118}

***

{"formula": "CsMg3ZnAs2P", "functional": "PBE", "state": "optimized geometry", "lattice_angstrom": [[4.302, 0.000, 0.000], [0.000, 4.453, 0.000], [0.000, 0.000, 10.754]], "species": ["As", "As", "Cs", "Mg", "Mg", "Mg", "P", "Zn"], "fractional_positions": [[0.500, 0.500, 0.282], [0.500, 0.500, 0.722], [0.000, 0.000, 0.499], [0.000, 0.500, 0.145], [0.500, 0.000, 0.155], [0.500, 0.000, 0.852], [0.000, 0.000, 0.999], [0.000, 0.500, 0.845]], "sg": "Pmm2, No. 25", "dft_energy_ev_per_cell": -26.2}

***

{"formula": "KInCo", "functional": "PBE", "state": "optimized geometry", "lattice_angstrom": [[0.000, 3.415, 3.415], [3.415, 0.000, 3.415], [3.415, 3.415, 0.000]], "species": ["Co", "In", "K"], "fractional_positions": [[0.000, 0.000, 0.000], [0.250, 0.250, 0.250], [0.750, 0.750, 0.750]], "sg": "F-43m, No. 216", "e_above_lowest_polymorph_ev_per_atom": 0.0000}

***

{"formula": "Ge2MoPd", "functional": "PBE", "state": "optimized geometry", "lattice_angstrom": [[0.550, -3.781, -2.383], [-3.204, -3.165, 0.027], [-2.485, -0.720, -3.686]], "species": ["Ge", "Ge", "Mo", "Pd"], "fractional_positions": [[0.250, 0.250, 0.250], [0.500, 0.500, 0.500], [0.750, 0.750, 0.750], [0.000, 0.000, 0.000]], "sg": "F-43m, No. 216", "dft_energy_ev_per_cell": -24.2}

***

{"formula": "Zn2SiGeP4", "functional": "PBE", "state": "optimized geometry", "lattice_angstrom": [[-2.728, 2.728, 5.338], [2.728, -2.728, 5.338], [2.728, 2.728, -5.338]], "species": ["Ge", "P", "P", "P", "P", "Si", "Zn", "Zn"], "fractional_positions": [[0.000, 0.000, 0.000], [0.129, 0.633, 0.018], [0.367, 0.385, 0.496], [0.889, 0.871, 0.504], [0.615, 0.111, 0.982], [0.250, 0.750, 0.500], [0.500, 0.500, 0.000], [0.750, 0.250, 0.500]], "sg": "I-4, No. 82", "dft_energy_ev_per_cell": -36.3}

***

{"formula": "DyIn4GaCo", "functional": "PBE", "state": "optimized geometry", "lattice_angstrom": [[-3.196, -0.163, 3.161], [-2.750, -2.081, -2.888], [2.589, -6.584, 2.279]], "species": ["Co", "Dy", "Ga", "In", "In", "In", "In"], "fractional_positions": [[0.000, 0.000, 0.500], [0.000, 0.000, 0.000], [0.500, 0.500, 0.000], [0.500, 0.000, 0.303], [0.000, 0.500, 0.303], [0.500, 0.000, 0.697], [0.000, 0.500, 0.697]], "sg": "P4/mmm, No. 123", "dft_energy_ev_per_cell": -27.5}